Entry 1:
# Ac8CdCo2 GGA-PBE optimized geometry
data_Ac8CdCo2
_chemical_formula_sum 'Ac16 Cd2 Co4'
_cell_length_a 9.103
_cell_length_b 14.651
_cell_length_c 6.147
_cell_angle_alpha 90.00
_cell_angle_beta 104.54
_cell_angle_gamma 90.00
_symmetry_space_group_name_H-M 'C 1 m 1'
_symmetry_Int_Tables_number 8
loop_
_symmetry_equiv_pos_as_xyz
'x,y,z'
'x,-y,z'
'x+1/2,y+1/2,z'
'x+1/2,-y+1/2,z'
loop_
_atom_site_label
_atom_site_fract_x
_atom_site_fract_y
_atom_site_fract_z
Ac1 0.000 0.000 0.000
Ac2 0.103 0.369 0.766
Ac3 0.179 0.131 0.626
Ac4 0.281 0.500 0.392
Ac5 0.391 0.242 0.196
Cd1 0.390 0.000 0.193
Co1 0.391 0.280 0.696
# DFT total energy = -47.441 eV/f.u.
# Fermi-level density of states = 13.82 states/eV/f.u.

---

Entry 2:
# Ti2AlTe GGA-PBE optimized geometry
data_Ti2AlTe
_chemical_formula_sum 'Ti8 Al4 Te4'
_cell_length_a 5.549
_cell_length_b 5.549
_cell_length_c 14.292
_cell_angle_alpha 90.00
_cell_angle_beta 90.00
_cell_angle_gamma 90.00
_symmetry_space_group_name_H-M 'I -4 2 d'
_symmetry_Int_Tables_number 122
_symmetry_space_group_name_Hall 'I -4 2bw'
loop_
_atom_site_label
_atom_site_fract_x
_atom_site_fract_y
_atom_site_fract_z
Ti1 0.218 0.250 0.125
Al1 0.000 0.000 0.000
Te1 0.000 0.000 0.500
# offset from the most stable computed form = 658 meV/atom
# DFT total energy = -20.303 eV/f.u.
# formation energy (no corrections) = 0.593 eV/atom
# Fermi-level density of states = 5.56 states/eV/f.u.

---

Entry 3:
# Tb6Tl3N GGA-PBE optimized geometry
data_Tb6Tl3N
_chemical_formula_sum 'Tb12 Tl6 N2'
_cell_length_a 11.563
_cell_length_b 6.791
_cell_length_c 7.116
_cell_angle_alpha 90.00
_cell_angle_beta 101.92
_cell_angle_gamma 90.00
_symmetry_space_group_name_H-M 'C 1 2/m 1'
_symmetry_Int_Tables_number 12
loop_
_symmetry_equiv_pos_as_xyz
'x,y,z'
'-x,-y,-z'
'-x,y,-z'
'x,-y,z'
'x+1/2,y+1/2,z'
'-x+1/2,-y+1/2,-z'
'-x+1/2,y+1/2,-z'
'x+1/2,-y+1/2,z'
loop_
_atom_site_label
_atom_site_fract_x
_atom_site_fract_y
_atom_site_fract_z
Tb1 0.103 0.241 0.358
Tb2 0.162 0.000 0.834
Tl1 0.000 0.500 0.000
Tl2 0.174 0.500 0.732
N1 0.000 0.000 0.500
# DFT total energy = -47.497 eV/f.u.
# formation energy (no corrections) = -0.429 eV/atom
# Fermi-level density of states = 8.33 states/eV/f.u.

---

Entry 4:
# ScCo2BOs GGA-PBE optimized geometry
data_ScCo2BOs
_chemical_formula_sum 'Sc1 Co2 B1 Os1'
_cell_length_a 4.212
_cell_length_b 4.212
_cell_length_c 4.169
_cell_angle_alpha 90.00
_cell_angle_beta 90.00
_cell_angle_gamma 90.00
_symmetry_space_group_name_H-M 'P 4/m m m'
_symmetry_Int_Tables_number 123
_symmetry_space_group_name_Hall '-P 4 2'
loop_
_atom_site_label
_atom_site_fract_x
_atom_site_fract_y
_atom_site_fract_z
Sc1 0.000 0.000 0.000
Co1 0.000 0.500 0.000
B1 0.000 0.000 0.500
Os1 0.500 0.500 0.500
# offset from the most stable computed form = 2284 meV/atom
# DFT total energy = -28.569 eV/f.u.
# Fermi-level density of states = 4.55 states/eV/f.u.

---

Entry 5:
# CoNi2Br GGA-PBE optimized geometry
data_CoNi2Br
_chemical_formula_sum 'Co1 Ni2 Br1'
_cell_length_a 3.077
_cell_length_b 3.077
_cell_length_c 5.964
_cell_angle_alpha 90.00
_cell_angle_beta 90.00
_cell_angle_gamma 90.00
_symmetry_space_group_name_H-M 'P 4 m m'
_symmetry_Int_Tables_number 99
loop_
_symmetry_equiv_pos_as_xyz
'x,y,z'
'-y,x,z'
'-x,-y,z'
'y,-x,z'
'-x,y,z'
'y,x,z'
'x,-y,z'
'-y,-x,z'
loop_
_atom_site_label
_atom_site_fract_x
_atom_site_fract_y
_atom_site_fract_z
Co1 0.000 0.000 0.000
Ni1 0.000 0.000 0.406
Ni2 0.500 0.500 0.200
Br1 0.500 0.500 0.699
# offset from the most stable computed form = 94 meV/atom
# DFT total energy = -18.418 eV/f.u.
# formation energy (no corrections) = 0.481 eV/atom
# Fermi-level density of states = 5.44 states/eV/f.u.

---

Entry 6:
# ReP2Pd GGA-PBE optimized geometry
data_ReP2Pd
_chemical_formula_sum 'Re4 P8 Pd4'
_cell_length_a 6.066
_cell_length_b 6.066
_cell_length_c 6.066
_cell_angle_alpha 90.00
_cell_angle_beta 90.00
_cell_angle_gamma 90.00
_symmetry_space_group_name_H-M 'F m -3 m'
_symmetry_Int_Tables_number 225
_symmetry_space_group_name_Hall '-F 4 2 3'
loop_
_atom_site_label
_atom_site_fract_x
_atom_site_fract_y
_atom_site_fract_z
Re1 0.000 0.000 0.000
P1 0.250 0.250 0.250
Pd1 0.000 0.000 0.500
# offset from the most stable computed form = 406 meV/atom
# DFT total energy = -27.776 eV/f.u.
# Fermi-level density of states = 3.52 states/eV/f.u.

---

Entry 7:
# InNiHg2 GGA-PBE optimized geometry
data_InNiHg2
_chemical_formula_sum 'In2 Ni2 Hg4'
_cell_length_a 2.948
_cell_length_b 4.539
_cell_length_c 12.861
_cell_angle_alpha 90.00
_cell_angle_beta 90.00
_cell_angle_gamma 90.00
_symmetry_space_group_name_H-M 'I m m 2'
_symmetry_Int_Tables_number 44
loop_
_symmetry_equiv_pos_as_xyz
'x,y,z'
'-x,-y,z'
'-x,y,z'
'x,-y,z'
'x+1/2,y+1/2,z+1/2'
'-x+1/2,-y+1/2,z+1/2'
'-x+1/2,y+1/2,z+1/2'
'x+1/2,-y+1/2,z+1/2'
loop_
_atom_site_label
_atom_site_fract_x
_atom_site_fract_y
_atom_site_fract_z
In1 0.000 0.000 0.000
Ni1 0.000 0.500 0.676
Hg1 0.000 0.000 0.360
Hg2 0.000 0.500 0.180
# DFT total energy = -8.833 eV/f.u.
# Fermi-level density of states = 1.56 states/eV/f.u.

---

Entry 8:
# Pa2CoGe3Ir4 GGA-PBE optimized geometry
data_Pa2CoGe3Ir4
_chemical_formula_sum 'Pa2 Co1 Ge3 Ir4'
_cell_length_a 4.111
_cell_length_b 4.111
_cell_length_c 10.405
_cell_angle_alpha 90.00
_cell_angle_beta 90.00
_cell_angle_gamma 90.00
_symmetry_space_group_name_H-M 'P -4 m 2'
_symmetry_Int_Tables_number 115
loop_
_symmetry_equiv_pos_as_xyz
'x,y,z'
'y,-x,-z'
'-x,-y,z'
'-y,x,-z'
'-x,y,z'
'-y,-x,-z'
'x,-y,z'
'y,x,-z'
loop_
_atom_site_label
_atom_site_fract_x
_atom_site_fract_y
_atom_site_fract_z
Pa1 0.000 0.500 0.248
Co1 0.500 0.500 0.000
Ge1 0.000 0.000 0.000
Ge2 0.000 0.500 0.634
Ir1 0.000 0.000 0.500
Ir2 0.000 0.500 0.866
Ir3 0.500 0.500 0.500
# DFT total energy = -81.331 eV/f.u.
# Fermi-level density of states = 8.94 states/eV/f.u.

---

Entry 9:
# CeHgPtAu GGA-PBE optimized geometry
data_CeHgPtAu
_chemical_formula_sum 'Ce4 Hg4 Pt4 Au4'
_cell_length_a 7.015
_cell_length_b 7.015
_cell_length_c 7.015
_cell_angle_alpha 90.00
_cell_angle_beta 90.00
_cell_angle_gamma 90.00
_symmetry_space_group_name_H-M 'F -4 3 m'
_symmetry_Int_Tables_number 216
_symmetry_space_group_name_Hall 'F -4 2 3'
loop_
_atom_site_label
_atom_site_fract_x
_atom_site_fract_y
_atom_site_fract_z
Ce1 0.000 0.000 0.000
Hg1 0.000 0.000 0.500
Pt1 0.250 0.250 0.250
Au1 0.250 0.250 0.750
# DFT total energy = -17.968 eV/f.u.
# Fermi-level density of states = 4.78 states/eV/f.u.

---

Entry 10:
# KScOF2 GGA-PBE optimized geometry
data_KScOF2
_chemical_formula_sum 'K1 Sc1 O1 F2'
_cell_length_a 4.401
_cell_length_b 4.401
_cell_length_c 4.628
_cell_angle_alpha 90.00
_cell_angle_beta 90.00
_cell_angle_gamma 90.00
_symmetry_space_group_name_H-M 'P 4/m m m'
_symmetry_Int_Tables_number 123
_symmetry_space_group_name_Hall '-P 4 2'
loop_
_atom_site_label
_atom_site_fract_x
_atom_site_fract_y
_atom_site_fract_z
K1 0.000 0.000 0.000
Sc1 0.500 0.500 0.500
O1 0.000 0.000 0.500
F1 0.000 0.500 0.000
# offset from the most stable computed form = 2074 meV/atom
# DFT total energy = -22.121 eV/f.u.
# formation energy (no corrections) = -1.198 eV/atom
# Fermi-level density of states = 5.13 states/eV/f.u.

---

Entry 11:
# SrOs3Cl GGA-PBE optimized geometry
data_SrOs3Cl
_chemical_formula_sum 'Sr1 Os3 Cl1'
_cell_length_a 4.518
_cell_length_b 4.518
_cell_length_c 4.518
_cell_angle_alpha 90.00
_cell_angle_beta 90.00
_cell_angle_gamma 90.00
_symmetry_space_group_name_H-M 'P m -3 m'
_symmetry_Int_Tables_number 221
_symmetry_space_group_name_Hall '-P 4 2 3'
loop_
_atom_site_label
_atom_site_fract_x
_atom_site_fract_y
_atom_site_fract_z
Sr1 0.000 0.000 0.000
Os1 0.000 0.500 0.500
Cl1 0.500 0.500 0.500
# offset from the most stable computed form = 0 meV/atom
# DFT total energy = -29.243 eV/f.u.
# formation energy (no corrections) = 1.595 eV/atom
# Fermi-level density of states = 4.73 states/eV/f.u.

---

Entry 12:
# Be2PPb GGA-PBE optimized geometry
data_Be2PPb
_chemical_formula_sum 'Be4 P2 Pb2'
_cell_length_a 5.998
_cell_length_b 3.476
_cell_length_c 6.615
_cell_angle_alpha 90.00
_cell_angle_beta 107.03
_cell_angle_gamma 90.00
_symmetry_space_group_name_H-M 'C 1 2/m 1'
_symmetry_Int_Tables_number 12
loop_
_symmetry_equiv_pos_as_xyz
'x,y,z'
'-x,-y,-z'
'-x,y,-z'
'x,-y,z'
'x+1/2,y+1/2,z'
'-x+1/2,-y+1/2,-z'
'-x+1/2,y+1/2,-z'
'x+1/2,-y+1/2,z'
loop_
_atom_site_label
_atom_site_fract_x
_atom_site_fract_y
_atom_site_fract_z
Be1 0.214 0.000 0.148
P1 0.000 0.500 0.000
Pb1 0.000 0.000 0.500
# offset from the most stable computed form = 32 meV/atom
# DFT total energy = -15.857 eV/f.u.
# Fermi-level density of states = 1.05 states/eV/f.u.

---

Here are the calculated V numbers, same order: 36.07, 27.51, 27.33, 14.80, 14.11, 13.95, 21.51, 17.58, 21.57, 17.93, 18.44, 16.48 (Å³/atom).